No. 1
VASP calculation (PBE) on Ti3Ni2Pd after structural relaxation.

a = 2.8381 Å, b = 2.8381 Å, c = 10.6072 Å
α = 90.00°, β = 90.00°, γ = 90.00°
Fractional coordinates of all 6 atoms:
1 Pd 0.5000 0.5000 0.5000
2 Ti 0.0000 0.0000 0.6838
3 Ti 0.0000 0.0000 0.0000
4 Ti 0.0000 0.0000 0.3162
5 Ni 0.5000 0.5000 0.1568
6 Ni 0.5000 0.5000 0.8432

Offset from the most stable computed form = 0.000 eV per atom
Space group = P4/mmm (123)
ΔE_f = -0.400 eV/atom


No. 2
VASP calculation (PBE) on BeSiAu after structural relaxation.

a = 6.0292 Å, b = 6.0292 Å, c = 6.0292 Å
α = 153.61°, β = 153.61°, γ = 37.67°
Fractional coordinates of all 3 atoms:
1 Si 0.6937 0.6937 0.0000
2 Au 0.9731 0.9731 0.0000
3 Be 0.3332 0.3332 0.0000

Offset from the most stable computed form = 0.254 eV per atom
Space group = I4mm (107)
Energy relative to the elements, uncorrected = 0.24 eV/atom